Entry 1:
# GdMgTlCd

GdMgTlCd after structural relaxation (PBE, Alexandria).

Summary:
* ΔE_f: -6.72 kcal/mol of atoms

Structure (POSCAR):
```
GdMgTlCd
1.0
0.0000 3.6845 3.6845
3.6845 0.0000 3.6845
3.6845 3.6845 0.0000
Gd Mg Tl Cd
1 1 1 1
direct
0.0000 0.0000 0.0000
0.5000 0.5000 0.5000
0.2500 0.2500 0.2500
0.7500 0.7500 0.7500
```


Entry 2:
# GdYMgCd

GdYMgCd after structural relaxation (PBE, Alexandria).

Summary:
* ΔE_f: -5.32 kcal/mol of atoms

Structure (POSCAR):
```
GdYMgCd
1.0
0.0000 3.7798 3.7798
3.7798 0.0000 3.7798
3.7798 3.7798 0.0000
Gd Y Mg Cd
1 1 1 1
direct
0.0000 0.0000 0.0000
0.5000 0.5000 0.5000
0.2500 0.2500 0.2500
0.7500 0.7500 0.7500
```


Entry 3:
# GdMgZnCd

GdMgZnCd after structural relaxation (PBE, Alexandria).

Summary:
* ΔE_f: -6.87 kcal/mol of atoms

Structure (POSCAR):
```
GdMgZnCd
1.0
0.0000 3.5410 3.5410
3.5410 0.0000 3.5410
3.5410 3.5410 0.0000
Gd Mg Zn Cd
1 1 1 1
direct
0.0000 0.0000 0.0000
0.5000 0.5000 0.5000
0.7500 0.7500 0.7500
0.2500 0.2500 0.2500
```


Entry 4:
# Gd2MnCd

Gd2MnCd after structural relaxation (PBE, Alexandria).

Summary:
* ΔE_f: 0.75 kcal/mol of atoms
* energy above the most stable polymorph in this dataset: 69 meV/atom

Structure (POSCAR):
```
Gd2MnCd
1.0
0.0000 3.7027 3.7027
3.7027 0.0000 3.7027
3.7027 3.7027 0.0000
Gd Mn Cd
2 1 1
direct
0.2500 0.2500 0.2500
0.7500 0.7500 0.7500
0.0000 0.0000 0.0000
0.5000 0.5000 0.5000
```


- Among the records above, which one has the highest ΔE_f?
  Gd2MnCd


- What is the ΔE_f in the third record?
  -6.87 kcal/mol of atoms


- Look up the ΔE_f of the fourth one.
  0.75 kcal/mol of atoms